Pm6CoAu3, optimized geometry, DFT GGA-PBE; SG = P2_1/c (14); total energy = -99.9 eV per cell; total magnetization = 0.000 μB/atom
1.0
7.1922 0.0000 0.0000
0.0000 7.7351 0.0000
-6.1022 0.0000 10.3409
Pm Co Au
12 2 6
direct
0.0821 0.0485 0.2438
0.0821 0.4515 0.7438
0.2236 0.6916 0.0776
0.2236 0.8084 0.5776
0.3660 0.1668 0.0610
0.3660 0.3332 0.5610
0.6340 0.6668 0.4390
0.6340 0.8332 0.9390
0.7764 0.1916 0.4224
0.7764 0.3084 0.9224
0.9179 0.5485 0.2562
0.9179 0.9515 0.7562
0.0000 0.0000 0.0000
0.0000 0.5000 0.5000
0.3195 0.1120 0.7675
0.3195 0.3880 0.2675
0.5000 0.0000 0.5000
0.5000 0.5000 0.0000
0.6805 0.6120 0.7325
0.6805 0.8880 0.2325



PrSn3Rh3, optimized geometry, DFT GGA-PBE; SG = R-3 (148); total energy = -83.8 eV per cell; offset from the most stable computed form = 0 meV per atom; total magnetization = 0.000 μB/atom
1.0
4.1247 2.3814 5.3553
-4.1247 2.3814 5.3553
0.0000 -4.7628 5.3553
Pr Sn Rh
2 6 6
direct
0.1689 0.1689 0.1689
0.8311 0.8311 0.8311
0.0996 0.3800 0.6880
0.3120 0.9004 0.6200
0.3800 0.6880 0.0996
0.6200 0.3120 0.9004
0.6880 0.0996 0.3800
0.9004 0.6200 0.3120
0.1080 0.7716 0.4450
0.2284 0.5550 0.8920
0.4450 0.1080 0.7716
0.5550 0.8920 0.2284
0.7716 0.4450 0.1080
0.8920 0.2284 0.5550



MnTe2Mo, optimized geometry, DFT GGA-PBE; raw formation energy = 727 meV per atom; SG = I-42d (122); total energy = -46.8 eV per cell; offset from the most stable computed form = 775 meV per atom; total magnetization = 0.417 μB/atom
1.0
-3.0058 3.0058 5.7836
3.0058 -3.0058 5.7836
3.0058 3.0058 -5.7836
Mn Te Mo
2 4 2
direct
0.0000 0.0000 0.0000
0.7500 0.2500 0.5000
0.0999 0.6250 0.9749
0.3750 0.3499 0.4749
0.6501 0.1250 0.0251
0.8750 0.9001 0.5251
0.2500 0.7500 0.5000
0.5000 0.5000 0.0000



Zr2TaIr3, optimized geometry, DFT GGA-PBE; SG = Imma (74); total energy = -119.6 eV per cell; total magnetization = 0.000 μB/atom
1.0
-2.2042 3.6923 6.4033
2.2042 -3.6923 6.4033
2.2042 3.6923 -6.4033
Zr Ta Ir
4 2 6
direct
0.2722 0.0222 0.2500
0.4289 0.6789 0.7500
0.5711 0.3211 0.2500
0.7278 0.9778 0.7500
0.0932 0.3432 0.7500
0.9068 0.6568 0.2500
0.0000 0.5000 0.5000
0.1279 0.1680 0.9599
0.2919 0.8320 0.4599
0.5000 0.5000 0.0000
0.7081 0.1680 0.5401
0.8721 0.8320 0.0401



SrBiO3, optimized geometry, DFT GGA-PBE; raw formation energy = -1845 meV per atom; SG = P2_1/c (14); total energy = -118.6 eV per cell; total magnetization = 0.000 μB/atom
1.0
6.0164 0.0000 0.0000
0.0000 6.1997 0.0000
-6.0080 0.0000 8.5994
Sr Bi O
4 4 12
direct
0.2362 0.0503 0.2510
0.2362 0.4497 0.7510
0.7638 0.5503 0.2490
0.7638 0.9497 0.7490
0.0000 0.0000 0.5000
0.0000 0.5000 0.0000
0.5000 0.0000 0.0000
0.5000 0.5000 0.5000
0.1301 0.2139 0.9393
0.1301 0.2861 0.4393
0.2341 0.6953 0.9455
0.2341 0.8047 0.4455
0.3470 0.0444 0.7393
0.3470 0.4556 0.2393
0.6530 0.5444 0.7607
0.6530 0.9556 0.2607
0.7659 0.1953 0.5545
0.7659 0.3047 0.0545
0.8699 0.7139 0.5607
0.8699 0.7861 0.0607



Ti3MnIn, optimized geometry, DFT GGA-PBE; SG = C2/m (12); total energy = -71.7 eV per cell; offset from the most stable computed form = 0 meV per atom; total magnetization = 0.000 μB/atom
1.0
4.9193 -2.0542 0.0000
4.9193 2.0542 0.0000
-0.7493 0.0000 8.5969
Ti Mn In
6 2 2
direct
0.1030 0.1030 0.3878
0.3713 0.3713 0.8690
0.3921 0.3921 0.3496
0.6079 0.6079 0.6504
0.6287 0.6287 0.1310
0.8970 0.8970 0.6122
0.2553 0.2553 0.6188
0.7447 0.7447 0.3812
0.0929 0.0929 0.8822
0.9071 0.9071 0.1178



ReSi2W, optimized geometry, DFT GGA-PBE; raw formation energy = -51 meV per atom; SG = Pmm2 (25); total energy = -36.5 eV per cell; offset from the most stable computed form = 250 meV per atom; total magnetization = 0.000 μB/atom
1.0
2.9136 0.0000 0.0000
0.0000 4.5084 0.0000
0.0000 0.0000 4.3429
Re Si W
1 2 1
direct
0.0000 0.0000 0.0000
0.0000 0.5000 0.6869
0.5000 0.0000 0.5171
0.5000 0.5000 0.1984



PrNdSn2, optimized geometry, DFT GGA-PBE; SG = P4/mmm (123); total energy = -20.3 eV per cell; total magnetization = 0.000 μB/atom
1.0
3.5570 0.0000 0.0000
0.0000 3.5570 0.0000
0.0000 0.0000 9.1421
Pr Nd Sn
1 1 2
direct
0.0000 0.0000 0.0000
0.0000 0.0000 0.5000
0.5000 0.5000 0.2517
0.5000 0.5000 0.7483



Which of these has the highest total energy? PrNdSn2



Number 5 is which compound? SrBiO3



Among the records above, which one has the highest total magnetization? MnTe2Mo



What is the total energy in the first record? -99.9 eV per cell